# LiCa3Co

LiCa3Co after structural relaxation (PBE, Alexandria via LeMat-Bulk).

It has space group P2_1/m (No. 11), with a = 8.777 Å, b = 3.966 Å, c = 9.579 Å, α = 90.00°, β = 115.71° and γ = 90.00°. The asymmetric unit holds Li at (0.074, 0.250, 0.412), Ca at (0.180, 0.250, 0.941), Ca at (0.326, 0.750, 0.308), Ca at (0.340, 0.750, 0.713) and Co at (0.474, 0.750, 0.037).

The offset from the most stable computed form is 0.000 eV/atom. For the energy relative to the elements, the calculation gives 0.051 eV/atom. The crystal system is monoclinic.